(1)
{"formula": "Rb3BeGe", "functional": "SCAN", "state": "PBEsol geometry", "m_tot_mub_per_cell": 1.0, "total_energy_ha_per_atom": -0.5989, "lattice_angstrom": [[-3.211, -2.357, 4.885], [0.616, -5.799, -2.394], [5.389, -0.742, 3.184]], "species": ["Be", "Ge", "Rb", "Rb", "Rb"], "frac_coords": [[0.000, 0.000, 0.000], [0.500, 0.500, 0.500], [0.000, 0.500, 0.000], [0.000, 0.000, 0.500], [0.500, 0.000, 0.000]]}

(2)
{"formula": "TaTiFe2", "functional": "SCAN", "state": "PBEsol geometry", "m_tot_mub_per_cell": 1.0, "total_energy_ha_per_atom": -1.1017, "lattice_angstrom": [[-1.651, 0.858, 3.770], [-3.778, -1.526, 1.037], [-0.320, -3.032, 2.894]], "species": ["Ti", "Fe", "Fe", "Ta"], "frac_coords": [[0.000, 0.000, 0.000], [0.250, 0.250, 0.250], [0.750, 0.750, 0.750], [0.500, 0.500, 0.500]]}

(3)
{"formula": "AlPH3", "functional": "SCAN", "state": "PBEsol geometry", "m_tot_mub_per_cell": 0.0, "total_energy_ha_per_atom": -0.1840, "lattice_angstrom": [[3.524, 0.000, 0.000], [0.000, 3.524, 0.000], [0.000, 0.000, 3.524]], "species": ["P", "Al", "H", "H", "H"], "frac_coords": [[0.000, 0.000, 0.000], [0.500, 0.500, 0.500], [0.000, 0.500, 0.000], [0.000, 0.000, 0.500], [0.500, 0.000, 0.000]]}

(4)
{"formula": "Be2PH", "functional": "SCAN", "state": "PBEsol geometry", "m_tot_mub_per_cell": 0.0, "total_energy_ha_per_atom": -0.2165, "lattice_angstrom": [[-2.167, 2.466, -1.228], [-3.050, -3.227, -1.097], [-0.876, 1.902, 5.365]], "species": ["P", "P", "Be", "Be", "Be", "Be", "H", "H"], "frac_coords": [[0.000, 0.973, 0.289], [0.500, 0.664, 0.710], [0.500, 0.714, 0.099], [0.000, 0.359, 0.634], [0.000, 0.897, 0.634], [0.500, 0.285, 0.325], [0.000, 0.211, 0.822], [0.500, 0.409, 0.127]]}

(5)
{"formula": "SrSbRh2", "functional": "SCAN", "state": "PBEsol geometry", "m_tot_mub_per_cell": 0.0, "total_energy_ha_per_atom": -1.1876, "e_form_raw_ev_per_atom": -0.546, "lattice_angstrom": [[4.371, 0.000, 0.000], [2.186, 3.785, 0.000], [2.186, 1.262, 5.511]], "species": ["Sb", "Rh", "Rh", "Sr"], "frac_coords": [[0.457, 0.457, 0.628], [0.057, 0.057, 0.829], [0.727, 0.727, 0.820], [0.259, 0.259, 0.223]]}

(6)
{"formula": "HfZn3Te", "functional": "SCAN", "state": "PBEsol geometry", "m_tot_mub_per_cell": 0.0, "total_energy_ha_per_atom": -0.9894, "e_form_raw_ev_per_atom": 1.170, "lattice_angstrom": [[-0.225, 0.158, 4.945], [0.060, -4.949, 0.161], [4.947, 0.067, 0.223]], "species": ["Zn", "Zn", "Zn", "Te", "Hf"], "frac_coords": [[0.000, 0.500, 0.000], [0.000, 0.000, 0.500], [0.500, 0.000, 0.000], [0.000, 0.000, 0.000], [0.500, 0.500, 0.500]]}

(7)
{"formula": "AlTl2As", "functional": "SCAN", "state": "PBEsol geometry", "m_tot_mub_per_cell": 0.0, "total_energy_ha_per_atom": -1.5892, "lattice_angstrom": [[-2.109, 1.765, -2.752], [1.276, 0.082, -3.675], [-3.933, -5.958, -3.559]], "species": ["Tl", "Tl", "As", "Al"], "frac_coords": [[0.985, 0.985, 0.044], [0.758, 0.758, 0.727], [0.227, 0.227, 0.320], [0.514, 0.514, 0.458]]}

(8)
{"formula": "Cs2CaV2O7", "functional": "SCAN", "state": "PBEsol geometry", "m_tot_mub_per_cell": 0.0, "total_energy_ha_per_atom": -0.6033, "e_form_raw_ev_per_atom": -2.759, "lattice_angstrom": [[6.085, 0.000, 0.000], [0.000, 10.527, -0.046], [0.000, -3.561, 13.632]], "species": ["Cs", "Cs", "Cs", "Cs", "Cs", "Cs", "Cs", "Cs", "Ca", "Ca", "Ca", "Ca", "V", "V", "V", "V", "V", "V", "V", "V", "O", "O", "O", "O", "O", "O", "O", "O", "O", "O", "O", "O", "O", "O", "O", "O", "O", "O", "O", "O", "O", "O", "O", "O", "O", "O", "O", "O"], "frac_coords": [[0.231, 0.140, 0.172], [0.269, 0.640, 0.672], [0.769, 0.860, 0.828], [0.731, 0.360, 0.328], [0.774, 0.134, 0.636], [0.726, 0.634, 0.136], [0.226, 0.866, 0.364], [0.274, 0.366, 0.864], [0.257, 0.249, 0.482], [0.243, 0.749, 0.982], [0.743, 0.751, 0.518], [0.757, 0.251, 0.018], [0.233, 0.548, 0.378], [0.267, 0.048, 0.878], [0.767, 0.452, 0.622], [0.733, 0.952, 0.122], [0.236, 0.472, 0.135], [0.264, 0.972, 0.635], [0.764, 0.528, 0.865], [0.736, 0.028, 0.365], [0.429, 0.631, 0.454], [0.071, 0.131, 0.954], [0.571, 0.369, 0.546], [0.929, 0.869, 0.046], [0.983, 0.618, 0.406], [0.517, 0.118, 0.906], [0.017, 0.382, 0.594], [0.483, 0.882, 0.094], [0.226, 0.387, 0.377], [0.274, 0.887, 0.877], [0.774, 0.613, 0.623], [0.726, 0.113, 0.123], [0.309, 0.564, 0.258], [0.191, 0.064, 0.758], [0.691, 0.436, 0.742], [0.809, 0.936, 0.242], [0.996, 0.390, 0.135], [0.504, 0.890, 0.635], [0.004, 0.610, 0.865], [0.496, 0.110, 0.365], [0.212, 0.584, 0.069], [0.288, 0.084, 0.569], [0.788, 0.416, 0.931], [0.712, 0.916, 0.431], [0.444, 0.367, 0.093], [0.056, 0.867, 0.593], [0.556, 0.633, 0.907], [0.944, 0.133, 0.407]]}

(9)
{"formula": "Sr2Zn2Ag", "functional": "SCAN", "state": "PBEsol geometry", "m_tot_mub_per_cell": 0.0, "total_energy_ha_per_atom": -0.7598, "lattice_angstrom": [[3.769, 0.000, 0.000], [0.000, 3.769, 0.000], [-1.884, -1.884, 9.398]], "species": ["Sr", "Sr", "Zn", "Zn", "Ag"], "frac_coords": [[0.396, 0.396, 0.793], [0.604, 0.604, 0.207], [0.250, 0.750, 0.500], [0.750, 0.250, 0.500], [0.000, 0.000, 0.000]]}

(10)
{"formula": "PbSe3", "functional": "SCAN", "state": "PBEsol geometry", "m_tot_mub_per_cell": 2.7, "total_energy_ha_per_atom": -1.2213, "e_form_raw_ev_per_atom": 0.771, "lattice_angstrom": [[5.446, 0.000, 0.000], [0.000, 5.446, 0.000], [0.000, 0.000, 5.446]], "species": ["Pb", "Se", "Se", "Se"], "frac_coords": [[0.000, 0.000, 0.000], [0.500, 0.000, 0.000], [0.000, 0.500, 0.000], [0.000, 0.000, 0.500]]}

(11)
{"formula": "MgIr2Br", "functional": "SCAN", "state": "PBEsol geometry", "m_tot_mub_per_cell": 0.0, "total_energy_ha_per_atom": -1.4983, "e_form_raw_ev_per_atom": 0.886, "lattice_angstrom": [[-4.285, -1.237, -0.173], [-2.225, -0.871, 3.769], [-3.187, 2.790, 1.406]], "species": ["Br", "Ir", "Ir", "Mg"], "frac_coords": [[0.000, 0.000, 0.000], [0.250, 0.250, 0.250], [0.750, 0.750, 0.750], [0.500, 0.500, 0.500]]}

(12)
{"formula": "Zr3TaFe8", "functional": "SCAN", "state": "PBEsol geometry", "m_tot_mub_per_cell": 13.5, "total_energy_ha_per_atom": -0.9375, "lattice_angstrom": [[-4.614, 1.473, 0.219], [-3.532, -2.821, -1.754], [-3.481, -3.902, 6.582]], "species": ["Zr", "Zr", "Zr", "Ta", "Fe", "Fe", "Fe", "Fe", "Fe", "Fe", "Fe", "Fe"], "frac_coords": [[0.625, 0.625, 0.124], [0.001, 0.001, 0.998], [0.499, 0.499, 0.502], [0.125, 0.125, 0.626], [0.563, 0.065, 0.808], [0.062, 0.559, 0.316], [0.563, 0.563, 0.808], [0.062, 0.062, 0.316], [0.812, 0.812, 0.563], [0.313, 0.313, 0.062], [0.065, 0.563, 0.808], [0.559, 0.062, 0.316]]}

(13)
{"formula": "CdCo2Pb", "functional": "SCAN", "state": "PBEsol geometry", "m_tot_mub_per_cell": 3.1, "total_energy_ha_per_atom": -1.2763, "lattice_angstrom": [[3.017, 0.000, 0.000], [0.000, 4.527, 0.054], [-1.508, -1.707, 4.664]], "species": ["Pb", "Co", "Co", "Cd"], "frac_coords": [[0.519, 0.553, 0.038], [0.970, 0.024, 0.940], [0.280, 0.730, 0.559], [0.731, 0.193, 0.463]]}

(14)
{"formula": "SnPdI2N", "functional": "SCAN", "state": "PBEsol geometry", "m_tot_mub_per_cell": 0.0, "total_energy_ha_per_atom": -1.0928, "e_form_raw_ev_per_atom": 0.558, "lattice_angstrom": [[3.707, 0.000, 0.000], [0.000, 5.764, 0.000], [0.000, 0.000, 5.764]], "species": ["I", "I", "Sn", "Pd", "N"], "frac_coords": [[0.000, 0.000, 0.500], [0.000, 0.500, 0.000], [0.500, 0.500, 0.500], [0.000, 0.000, 0.000], [0.500, 0.000, 0.000]]}

(15)
{"formula": "Re2Sb2F", "functional": "SCAN", "state": "PBEsol geometry", "m_tot_mub_per_cell": 0.0, "total_energy_ha_per_atom": -1.6234, "e_form_raw_ev_per_atom": -0.124, "lattice_angstrom": [[3.600, 0.000, 0.000], [0.000, 3.600, 0.000], [-1.800, -1.800, 7.574]], "species": ["Re", "Re", "F", "Sb", "Sb"], "frac_coords": [[0.250, 0.750, 0.500], [0.750, 0.250, 0.500], [0.000, 0.000, 0.000], [0.393, 0.393, 0.786], [0.607, 0.607, 0.214]]}

(16)
{"formula": "SrPb3N", "functional": "SCAN", "state": "PBEsol geometry", "m_tot_mub_per_cell": 3.1, "total_energy_ha_per_atom": -1.8443, "e_form_raw_ev_per_atom": 1.597, "lattice_angstrom": [[-5.302, -2.164, 2.182], [-2.027, -0.807, -5.727], [2.310, -5.676, -0.018]], "species": ["Pb", "Pb", "Pb", "Sr", "N"], "frac_coords": [[0.000, 0.500, 0.000], [0.000, 0.000, 0.500], [0.500, 0.000, 0.000], [0.000, 0.000, 0.000], [0.500, 0.500, 0.500]]}

(17)
{"formula": "Rb3Br2Cl", "functional": "SCAN", "state": "PBEsol geometry", "m_tot_mub_per_cell": 0.0, "total_energy_ha_per_atom": -0.7424, "e_form_raw_ev_per_atom": -2.015, "lattice_angstrom": [[-2.378, -4.078, 0.701], [3.859, -1.894, 2.072], [-3.904, 6.375, 7.602]], "species": ["Rb", "Rb", "Rb", "Br", "Br", "Cl"], "frac_coords": [[0.337, 0.337, 0.675], [0.000, 0.000, 0.000], [0.663, 0.663, 0.325], [0.168, 0.168, 0.335], [0.832, 0.832, 0.665], [0.500, 0.500, 0.000]]}

(18)
{"formula": "NdAl11O18", "functional": "SCAN", "state": "PBEsol geometry", "m_tot_mub_per_cell": 0.0, "total_energy_ha_per_atom": -0.4164, "e_form_raw_ev_per_atom": -3.296, "lattice_angstrom": [[-0.372, -5.552, 0.043], [4.472, 2.314, -2.430], [2.805, -0.146, 11.012]], "species": ["Nd", "Al", "Al", "Al", "Al", "Al", "Al", "Al", "Al", "Al", "Al", "Al", "O", "O", "O", "O", "O", "O", "O", "O", "O", "O", "O", "O", "O", "O", "O", "O", "O", "O"], "frac_coords": [[0.000, 0.500, 0.500], [0.391, 0.311, 0.218], [0.000, 0.000, 0.000], [0.890, 0.814, 0.225], [0.885, 0.306, 0.208], [0.649, 0.297, 0.941], [0.554, 0.082, 0.626], [0.446, 0.918, 0.374], [0.351, 0.703, 0.059], [0.115, 0.694, 0.792], [0.110, 0.186, 0.775], [0.609, 0.689, 0.782], [0.687, 0.401, 0.107], [0.922, 0.803, 0.704], [0.189, 0.917, 0.110], [0.281, 0.080, 0.896], [0.439, 0.316, 0.716], [0.073, 0.674, 0.294], [0.729, 0.049, 0.494], [0.827, 0.630, 0.902], [0.596, 0.218, 0.306], [0.404, 0.782, 0.694], [0.173, 0.370, 0.098], [0.271, 0.951, 0.506], [0.927, 0.326, 0.706], [0.561, 0.684, 0.284], [0.719, 0.920, 0.104], [0.811, 0.083, 0.890], [0.313, 0.599, 0.893], [0.078, 0.197, 0.296]]}

(19)
{"formula": "In2AsBr", "functional": "SCAN", "state": "PBEsol geometry", "m_tot_mub_per_cell": 0.0, "total_energy_ha_per_atom": -0.9780, "e_form_raw_ev_per_atom": -0.006, "lattice_angstrom": [[-0.627, 1.909, 2.744], [-2.155, -2.621, 0.237], [6.201, -4.679, 4.671]], "species": ["As", "Br", "In", "In"], "frac_coords": [[0.000, 0.000, 0.539], [0.500, 0.500, 0.219], [0.000, 0.000, 0.006], [0.500, 0.500, 0.736]]}

(20)
{"formula": "CoHg2As", "functional": "SCAN", "state": "PBEsol geometry", "m_tot_mub_per_cell": 1.4, "total_energy_ha_per_atom": -1.5887, "lattice_angstrom": [[-1.428, -1.638, -1.808], [3.077, -2.119, -0.509], [-2.728, -2.125, 6.289]], "species": ["As", "Co", "Hg", "Hg"], "frac_coords": [[0.000, 0.500, 0.000], [0.500, 0.000, 0.000], [0.821, 0.821, 0.642], [0.179, 0.179, 0.358]]}

(21)
{"formula": "YErIr2", "functional": "SCAN", "state": "PBEsol geometry", "m_tot_mub_per_cell": 0.0, "total_energy_ha_per_atom": -2.0624, "lattice_angstrom": [[4.756, 0.000, 0.000], [2.378, 4.119, 0.000], [2.378, 1.373, 3.883]], "species": ["Y", "Ir", "Ir", "Er"], "frac_coords": [[0.500, 0.500, 0.500], [0.250, 0.250, 0.250], [0.750, 0.750, 0.750], [0.000, 0.000, 0.000]]}

(22)
{"formula": "Co4MoAs", "functional": "SCAN", "state": "PBEsol geometry", "m_tot_mub_per_cell": 0.0, "total_energy_ha_per_atom": -0.7452, "lattice_angstrom": [[4.609, 0.000, 0.000], [2.305, 3.992, 0.000], [2.305, 1.331, 3.763]], "species": ["As", "Co", "Co", "Co", "Co", "Mo"], "frac_coords": [[0.000, 0.000, 0.000], [0.375, 0.375, 0.375], [0.375, 0.375, 0.874], [0.874, 0.375, 0.375], [0.375, 0.874, 0.375], [0.750, 0.750, 0.750]]}

(23)
{"formula": "LiTl2Os", "functional": "SCAN", "state": "PBEsol geometry", "m_tot_mub_per_cell": 0.0, "total_energy_ha_per_atom": -1.9804, "lattice_angstrom": [[4.723, 0.000, 0.000], [2.362, 4.091, 0.000], [2.362, 1.364, 3.857]], "species": ["Li", "Os", "Tl", "Tl"], "frac_coords": [[0.500, 0.500, 0.500], [0.250, 0.250, 0.250], [0.000, 0.000, 0.000], [0.750, 0.750, 0.750]]}

(24)
{"formula": "BeTlOs", "functional": "SCAN", "state": "PBEsol geometry", "m_tot_mub_per_cell": 0.0, "total_energy_ha_per_atom": -1.7916, "lattice_angstrom": [[-1.921, 2.113, 0.163], [-0.838, -2.474, 1.164], [3.877, 2.012, 5.027]], "species": ["Be", "Tl", "Os"], "frac_coords": [[0.978, 0.978, 0.956], [0.665, 0.665, 0.329], [0.357, 0.357, 0.714]]}